(1)
DFT (GGA-PBE) results for a relaxed Ba2CaEu crystal.

Cell lengths 6.693, 6.693, 6.693 Å; angles 60.00, 60.00, 60.00 degrees
Fractional coordinates of all 4 atoms:
1 Ba 0.250 0.250 0.250
2 Ba 0.750 0.750 0.750
3 Ca 0.000 0.000 0.000
4 Eu 0.500 0.500 0.500

Calculated values
Total moment   8.0 μB/f.u.
Energy   -3.98 eV/atom
Space-group type   Fm-3m, No. 225

(2)
DFT (GGA-PBE) results for a relaxed RbLiHfTe3 crystal.

Cell lengths 9.688, 4.263, 10.576 Å; angles 90.00, 111.04, 90.00 degrees
Fractional coordinates of all 12 atoms:
1 Rb 0.224 0.250 0.264
2 Rb 0.776 0.750 0.736
3 Li 0.077 0.250 0.603
4 Li 0.923 0.750 0.397
5 Hf 0.318 0.750 0.841
6 Hf 0.682 0.250 0.159
7 Te 0.127 0.250 0.873
8 Te 0.229 0.750 0.556
9 Te 0.465 0.750 0.142
10 Te 0.535 0.250 0.858
11 Te 0.771 0.250 0.444
12 Te 0.873 0.750 0.127

Calculated values
Total moment   0.0 μB/f.u.
Energy   -4.68 eV/atom
Space-group type   P2_1/m, No. 11

(3)
DFT (GGA-PBE) results for a relaxed MgCuI3 crystal.

Cell lengths 5.439, 5.439, 5.439 Å; angles 90.00, 90.00, 90.00 degrees
Fractional coordinates of all 5 atoms:
1 Mg 0.000 0.000 0.000
2 Cu 0.500 0.500 0.500
3 I 0.000 0.500 0.500
4 I 0.500 0.000 0.500
5 I 0.500 0.500 0.000

Calculated values
Total moment   0.0 μB/f.u.
ΔE to the lowest computed polymorph   0.643 eV/atom
Space-group type   Pm-3m, No. 221

(4)
DFT (GGA-PBE) results for a relaxed La4SnCl5 crystal.

Cell lengths 9.399, 9.399, 8.877 Å; angles 102.80, 102.80, 26.12 degrees
Fractional coordinates of all 10 atoms:
1 La 0.007 0.007 0.255
2 La 0.326 0.326 0.929
3 La 0.674 0.674 0.071
4 La 0.993 0.993 0.745
5 Sn 0.500 0.500 0.000
6 Cl 0.160 0.160 0.826
7 Cl 0.171 0.171 0.302
8 Cl 0.500 0.500 0.500
9 Cl 0.829 0.829 0.698
10 Cl 0.840 0.840 0.174

Calculated values
Total moment   0.5 μB/f.u.
Energy   -5.04 eV/atom
Space-group type   C2/m, No. 12

(5)
DFT (GGA-PBE) results for a relaxed Sc5CoHg2 crystal.

Cell lengths 6.382, 11.084, 4.731 Å; angles 90.00, 90.00, 90.00 degrees
Fractional coordinates of all 16 atoms:
1 Sc 0.000 0.000 0.000
2 Sc 0.127 0.294 0.000
3 Sc 0.165 0.592 0.500
4 Sc 0.335 0.092 0.500
5 Sc 0.373 0.794 0.000
6 Sc 0.500 0.500 0.000
7 Sc 0.627 0.206 0.000
8 Sc 0.665 0.908 0.500
9 Sc 0.835 0.408 0.500
10 Sc 0.873 0.706 0.000
11 Co 0.000 0.500 0.000
12 Co 0.500 0.000 0.000
13 Hg 0.103 0.850 0.500
14 Hg 0.397 0.350 0.500
15 Hg 0.603 0.650 0.500
16 Hg 0.897 0.150 0.500

Calculated values
Total moment   0.0 μB/f.u.
Energy   -5.25 eV/atom
Space-group type   Pbam, No. 55

(6)
DFT (GGA-PBE) results for a relaxed SmDyMgPt crystal.

Cell lengths 5.139, 5.139, 5.139 Å; angles 60.00, 60.00, 60.00 degrees
Fractional coordinates of all 4 atoms:
1 Sm 0.000 0.000 0.000
2 Dy 0.500 0.500 0.500
3 Mg 0.250 0.250 0.250
4 Pt 0.750 0.750 0.750

Calculated values
Total moment   0.0 μB/f.u.
Energy   -4.80 eV/atom
Space-group type   F-43m, No. 216